Compound: SiRh2F
Source: Alexandria
Functional: GGA-PBE
Structure: optimized geometry

Distance to the lowest polymorph of the same formula in meV per atom: 232.5
Space group: No. 122
Energy relative to the elements, uncorrected in kcal/mol of atoms: -8.32
DFT total energy in eV/f.u.: -23.4
Density of states at the Fermi level in states/eV/atom: 1.044

extended XYZ file:
```
8
Lattice="-3.1748 3.1748 2.7920 3.1748 -3.1748 2.7920 3.1748 3.1748 -2.7920" Properties=species:S:1:pos:R:3 pbc="T T T"
Si 0.0000 0.0000 0.0000
Si 0.0000 3.1748 1.3960
Rh 4.7622 1.4839 -0.6980
Rh 1.4839 1.5874 0.6980
Rh -1.5874 1.6910 2.0940
Rh 1.6910 1.5874 3.4900
F 3.1748 0.0000 1.3960
F 0.0000 0.0000 2.7920
```